Record 1
An optimized crystal structure of BaTb2Ga6. Source: Alexandria, functional PBE.

Output
The value obtained for the formation energy is -517 meV/atom. The total magnetic moment comes out at 0.00 μB/f.u. As for the space-group type: P6/mmm.

abc: 7.477 7.477 4.416
angles: 90.00 90.00 120.00
Sites, in units of the cell vectors:
Ba 0.000 0.000 0.000
Tb 0.333 0.667 0.000
Tb 0.667 0.333 0.000
Ga 0.000 0.339 0.500
Ga 0.000 0.661 0.500
Ga 0.339 0.000 0.500
Ga 0.339 0.339 0.500
Ga 0.661 0.000 0.500
Ga 0.661 0.661 0.500


Record 2
An optimized crystal structure of Ba2TbGaTe5. Source: Alexandria, functional PBE.

Output
The value obtained for the formation energy without anion corrections is -1301 meV/atom. The total magnetic moment comes out at 0.00 μB/f.u. As for the space-group type: Cmc2_1.

abc: 10.573 10.573 14.234
angles: 90.00 90.00 155.35
Sites, in units of the cell vectors:
Ba 0.122 0.878 0.500
Ba 0.125 0.875 0.136
Ba 0.875 0.125 0.636
Ba 0.878 0.122 0.000
Tb 0.206 0.794 0.838
Tb 0.794 0.206 0.338
Ga 0.438 0.562 0.245
Ga 0.562 0.438 0.745
Te 0.048 0.952 0.854
Te 0.295 0.705 0.483
Te 0.313 0.687 0.184
Te 0.351 0.649 0.820
Te 0.499 0.501 0.084
Te 0.501 0.499 0.584
Te 0.649 0.351 0.320
Te 0.687 0.313 0.684
Te 0.705 0.295 0.983
Te 0.952 0.048 0.354


Record 3
An optimized crystal structure of BaTbTlGa. Source: Alexandria, functional PBE.

Output
The value obtained for the formation energy is -250 meV/atom. The total magnetic moment comes out at 0.00 μB/f.u. As for the space-group type: F-43m.

abc: 7.921 7.921 7.921
angles: 90.00 90.00 90.00
Sites, in units of the cell vectors:
Ba 0.000 0.000 0.000
Ba 0.000 0.500 0.500
Ba 0.500 0.000 0.500
Ba 0.500 0.500 0.000
Tb 0.000 0.000 0.500
Tb 0.000 0.500 0.000
Tb 0.500 0.000 0.000
Tb 0.500 0.500 0.500
Tl 0.250 0.250 0.250
Tl 0.250 0.750 0.750
Tl 0.750 0.250 0.750
Tl 0.750 0.750 0.250
Ga 0.250 0.250 0.750
Ga 0.250 0.750 0.250
Ga 0.750 0.250 0.250
Ga 0.750 0.750 0.750


Record 4
An optimized crystal structure of BaTbZnGa. Source: Alexandria, functional PBE.

Output
The value obtained for the formation energy is -201 meV/atom. The total magnetic moment comes out at 0.00 μB/f.u. As for the space-group type: F-43m.

abc: 7.682 7.682 7.682
angles: 90.00 90.00 90.00
Sites, in units of the cell vectors:
Ba 0.000 0.000 0.000
Ba 0.000 0.500 0.500
Ba 0.500 0.000 0.500
Ba 0.500 0.500 0.000
Tb 0.000 0.000 0.500
Tb 0.000 0.500 0.000
Tb 0.500 0.000 0.000
Tb 0.500 0.500 0.500
Zn 0.250 0.250 0.750
Zn 0.250 0.750 0.250
Zn 0.750 0.250 0.250
Zn 0.750 0.750 0.750
Ga 0.250 0.250 0.250
Ga 0.250 0.750 0.750
Ga 0.750 0.250 0.750
Ga 0.750 0.750 0.250


Record 5
An optimized crystal structure of BaGa3Tc. Source: Alexandria, functional PBE.

Output
The value obtained for the formation energy is -3 meV/atom. The total magnetic moment comes out at 0.00 μB/f.u. As for the space-group type: I-4m2.

abc: 9.012 9.012 9.012
angles: 142.61 142.61 53.91
Sites, in units of the cell vectors:
Ba 0.140 0.140 0.000
Ba 0.860 0.860 0.000
Ga 0.005 0.505 0.500
Ga 0.143 0.360 0.782
Ga 0.495 0.995 0.500
Ga 0.578 0.360 0.218
Ga 0.640 0.422 0.782
Ga 0.640 0.857 0.218
Tc 0.500 0.500 0.000
Tc 0.750 0.250 0.500


Record 6
An optimized crystal structure of BaGa3Tc. Source: Alexandria, functional PBE.

Output
The value obtained for the formation energy is -90 meV/atom. The total magnetic moment comes out at 0.00 μB/f.u. As for the space-group type: C2/m.

abc: 6.954 6.954 7.818
angles: 97.03 97.03 42.36
Sites, in units of the cell vectors:
Ba 0.149 0.149 0.342
Ba 0.851 0.851 0.658
Ga 0.158 0.158 0.889
Ga 0.419 0.419 0.388
Ga 0.458 0.458 0.853
Ga 0.542 0.542 0.147
Ga 0.581 0.581 0.612
Ga 0.842 0.842 0.111
Tc 0.340 0.340 0.079
Tc 0.660 0.660 0.921


Record 7
An optimized crystal structure of BaGa3Tc. Source: Alexandria, functional PBE.

Output
The value obtained for the formation energy is 292 meV/atom. The total magnetic moment comes out at 0.00 μB/f.u. As for the space-group type: R3m.

abc: 6.052 6.052 11.733
angles: 90.00 90.00 120.00
Sites, in units of the cell vectors:
Ba 0.000 0.000 0.000
Ba 0.333 0.667 0.667
Ba 0.667 0.333 0.333
Ga 0.006 0.503 0.100
Ga 0.163 0.327 0.433
Ga 0.163 0.837 0.433
Ga 0.340 0.170 0.766
Ga 0.497 0.503 0.100
Ga 0.497 0.994 0.100
Ga 0.673 0.837 0.433
Ga 0.830 0.170 0.766
Ga 0.830 0.660 0.766
Tc 0.000 0.000 0.280
Tc 0.333 0.667 0.947
Tc 0.667 0.333 0.613


Record 8
An optimized crystal structure of BaGa9Tc2. Source: Alexandria, functional PBE.

Output
The value obtained for the formation energy is -283 meV/atom. The total magnetic moment comes out at 0.00 μB/f.u. As for the space-group type: P6/mmm.

abc: 8.620 8.620 3.562
angles: 90.00 90.00 120.00
Sites, in units of the cell vectors:
Ba 0.000 0.000 0.000
Ga 0.000 0.500 0.000
Ga 0.199 0.398 0.500
Ga 0.199 0.801 0.500
Ga 0.398 0.199 0.500
Ga 0.500 0.000 0.000
Ga 0.500 0.500 0.000
Ga 0.602 0.801 0.500
Ga 0.801 0.199 0.500
Ga 0.801 0.602 0.500
Tc 0.333 0.667 0.000
Tc 0.667 0.333 0.000